(1)
This record from the Alexandria database describes an optimized crystal structure of BaSc3Zn. The functional is GGA-PBE.

Output
The value obtained for the density of states at the Fermi level is 6.671 states/eV/f.u.

```
data_BaSc3Zn
_chemical_formula_sum 'Ba1 Sc3 Zn1'
_space_group_name_H-M_alt 'P m -3 m'
_space_group_IT_number 221
_space_group_name_Hall '-P 4 2 3'
_cell_length_a 5.312
_cell_length_b 5.312
_cell_length_c 5.312
_cell_angle_alpha 90.00
_cell_angle_beta 90.00
_cell_angle_gamma 90.00
loop_
_atom_site_label
_atom_site_fract_x
_atom_site_fract_y
_atom_site_fract_z
Ba1 0.000 0.000 0.000
Sc1 0.000 0.000 0.500
Zn1 0.500 0.500 0.500
```



(2)
This record from the Alexandria database describes an optimized crystal structure of BaSc3Zn. The functional is GGA-PBE.

Output
The value obtained for the density of states at the Fermi level is 7.770 states/eV/f.u.

```
data_BaSc3Zn
_chemical_formula_sum 'Ba1 Sc3 Zn1'
_space_group_name_H-M_alt 'P m -3 m'
_space_group_IT_number 221
_space_group_name_Hall '-P 4 2 3'
_cell_length_a 5.305
_cell_length_b 5.305
_cell_length_c 5.305
_cell_angle_alpha 90.00
_cell_angle_beta 90.00
_cell_angle_gamma 90.00
loop_
_atom_site_label
_atom_site_fract_x
_atom_site_fract_y
_atom_site_fract_z
Ba1 0.000 0.000 0.000
Sc1 0.000 0.500 0.500
Zn1 0.500 0.500 0.500
```



Which of them is least stable? Easy: (1).



(1)
This record from the Alexandria database describes an optimized crystal structure of BaZrSc2. The functional is GGA-PBE.

Output
The value obtained for the density of states at the Fermi level is 6.439 states/eV/f.u.

```
data_BaZrSc2
_chemical_formula_sum 'Ba2 Zr2 Sc4'
_space_group_name_H-M_alt 'A m m 2'
_space_group_IT_number 38
_space_group_name_Hall 'A 2 -2'
_cell_length_a 5.274
_cell_length_b 3.325
_cell_length_c 13.614
_cell_angle_alpha 90.00
_cell_angle_beta 90.00
_cell_angle_gamma 90.00
loop_
_atom_site_label
_atom_site_fract_x
_atom_site_fract_y
_atom_site_fract_z
Ba1 0.000 0.000 0.000
Zr1 0.500 0.000 0.332
Sc1 0.000 0.000 0.752
Sc2 0.500 0.000 0.638
```



(2)
This record from the Alexandria database describes an optimized crystal structure of BaZrSc2. The functional is GGA-PBE.

Output
The value obtained for the density of states at the Fermi level is 8.895 states/eV/f.u.

```
data_BaZrSc2
_chemical_formula_sum 'Ba1 Zr1 Sc2'
_space_group_name_H-M_alt 'P m m m'
_space_group_IT_number 47
_space_group_name_Hall '-P 2 2'
_cell_length_a 3.568
_cell_length_b 5.623
_cell_length_c 5.632
_cell_angle_alpha 90.00
_cell_angle_beta 90.00
_cell_angle_gamma 90.00
loop_
_atom_site_label
_atom_site_fract_x
_atom_site_fract_y
_atom_site_fract_z
Ba1 0.000 0.000 0.000
Zr1 0.500 0.000 0.500
Sc1 0.000 0.500 0.500
Sc2 0.500 0.500 0.000
```



(3)
This record from the Alexandria database describes an optimized crystal structure of BaZrSc2. The functional is GGA-PBE.

Output
The value obtained for the density of states at the Fermi level is 7.631 states/eV/f.u.

```
data_BaZrSc2
_chemical_formula_sum 'Ba1 Zr1 Sc2'
_space_group_name_H-M_alt 'P 4/m m m'
_space_group_IT_number 123
_space_group_name_Hall '-P 4 2'
_cell_length_a 3.390
_cell_length_b 3.390
_cell_length_c 10.382
_cell_angle_alpha 90.00
_cell_angle_beta 90.00
_cell_angle_gamma 90.00
loop_
_atom_site_label
_atom_site_fract_x
_atom_site_fract_y
_atom_site_fract_z
Ba1 0.000 0.000 0.000
Zr1 0.000 0.000 0.500
Sc1 0.500 0.500 0.301
```



Which of them is least stable? Easy: (2).



(1)
This record from the Alexandria database describes an optimized crystal structure of BaZrSc2. The functional is GGA-PBE.

Output
The value obtained for the density of states at the Fermi level is 6.968 states/eV/f.u.

```
data_BaZrSc2
_chemical_formula_sum 'Ba4 Zr4 Sc8'
_space_group_name_H-M_alt 'F -4 3 m'
_space_group_IT_number 216
_space_group_name_Hall 'F -4 2 3'
_cell_length_a 7.743
_cell_length_b 7.743
_cell_length_c 7.743
_cell_angle_alpha 90.00
_cell_angle_beta 90.00
_cell_angle_gamma 90.00
loop_
_atom_site_label
_atom_site_fract_x
_atom_site_fract_y
_atom_site_fract_z
Ba1 0.000 0.000 0.000
Zr1 0.250 0.250 0.750
Sc1 0.000 0.000 0.500
Sc2 0.250 0.250 0.250
```



(2)
This record from the Alexandria database describes an optimized crystal structure of BaZrSc2. The functional is GGA-PBE.

Output
The value obtained for the density of states at the Fermi level is 5.727 states/eV/f.u.

```
data_BaZrSc2
_chemical_formula_sum 'Ba2 Zr2 Sc4'
_space_group_name_H-M_alt 'C 1 2/m 1'
_space_group_IT_number 12
_space_group_name_Hall '-C 2y'
_cell_length_a 10.628
_cell_length_b 3.327
_cell_length_c 6.759
_cell_angle_alpha 90.00
_cell_angle_beta 96.30
_cell_angle_gamma 90.00
loop_
_atom_site_label
_atom_site_fract_x
_atom_site_fract_y
_atom_site_fract_z
Ba1 0.000 0.000 0.000
Zr1 0.000 0.500 0.500
Sc1 0.239 0.000 0.693
```



(3)
This record from the Alexandria database describes an optimized crystal structure of BaZrSc2. The functional is GGA-PBE.

Output
The value obtained for the density of states at the Fermi level is 6.608 states/eV/f.u.

```
data_BaZrSc2
_chemical_formula_sum 'Ba2 Zr2 Sc4'
_space_group_name_H-M_alt 'I m m 2'
_space_group_IT_number 44
_space_group_name_Hall 'I 2 -2'
_cell_length_a 3.535
_cell_length_b 5.682
_cell_length_c 11.502
_cell_angle_alpha 90.00
_cell_angle_beta 90.00
_cell_angle_gamma 90.00
loop_
_atom_site_label
_atom_site_fract_x
_atom_site_fract_y
_atom_site_fract_z
Ba1 0.000 0.000 0.000
Zr1 0.000 0.500 0.770
Sc1 0.000 0.000 0.492
Sc2 0.000 0.500 0.227
```



(4)
This record from the Alexandria database describes an optimized crystal structure of BaZrSc2. The functional is GGA-PBE.

Output
The value obtained for the density of states at the Fermi level is 5.780 states/eV/f.u.

```
data_BaZrSc2
_chemical_formula_sum 'Ba2 Zr2 Sc4'
_space_group_name_H-M_alt 'C m m m'
_space_group_IT_number 65
_space_group_name_Hall '-C 2 2'
_cell_length_a 6.912
_cell_length_b 9.504
_cell_length_c 3.389
_cell_angle_alpha 90.00
_cell_angle_beta 90.00
_cell_angle_gamma 90.00
loop_
_atom_site_label
_atom_site_fract_x
_atom_site_fract_y
_atom_site_fract_z
Ba1 0.000 0.000 0.000
Zr1 0.000 0.500 0.000
Sc1 0.250 0.250 0.500
```



Which of them is least stable? Easy: (1).



(1)
This record from the Alexandria database describes an optimized crystal structure of BaZrSc2. The functional is GGA-PBE.

Output
The value obtained for the density of states at the Fermi level is 5.539 states/eV/f.u.

```
data_BaZrSc2
_chemical_formula_sum 'Ba3 Zr3 Sc6'
_space_group_name_H-M_alt 'R -3 m'
_space_group_IT_number 166
_space_group_name_Hall '-R 3 2"'
_cell_length_a 3.3179
_cell_length_b 3.3179
_cell_length_c 36.4333
_cell_angle_alpha 90.00
_cell_angle_beta 90.00
_cell_angle_gamma 120.00
loop_
_atom_site_label
_atom_site_fract_x
_atom_site_fract_y
_atom_site_fract_z
Ba1 0.0000 0.0000 0.0000
Zr1 0.0000 0.0000 0.5000
Sc1 0.0000 0.0000 0.4208
```



(2)
This record from the Alexandria database describes an optimized crystal structure of BaZrSc2. The functional is GGA-PBE.

Output
The value obtained for the density of states at the Fermi level is 7.226 states/eV/f.u.

```
data_BaZrSc2
_chemical_formula_sum 'Ba1 Zr1 Sc2'
_space_group_name_H-M_alt 'P m m 2'
_space_group_IT_number 25
_space_group_name_Hall 'P 2 -2'
_cell_length_a 3.510
_cell_length_b 4.269
_cell_length_c 8.213
_cell_angle_alpha 90.00
_cell_angle_beta 90.00
_cell_angle_gamma 90.00
loop_
_atom_site_label
_atom_site_fract_x
_atom_site_fract_y
_atom_site_fract_z
Ba1 0.000 0.000 0.000
Zr1 0.500 0.500 0.697
Sc1 0.000 0.000 0.526
Sc2 0.500 0.500 0.331
```



(3)
This record from the Alexandria database describes an optimized crystal structure of BaZrSc2. The functional is GGA-PBE.

Output
The value obtained for the density of states at the Fermi level is 6.041 states/eV/f.u.

```
data_BaZrSc2
_chemical_formula_sum 'Ba3 Zr3 Sc6'
_space_group_name_H-M_alt 'R 3 m'
_space_group_IT_number 160
_space_group_name_Hall 'R 3 -2"'
_cell_length_a 3.4069
_cell_length_b 3.4069
_cell_length_c 34.1624
_cell_angle_alpha 90.00
_cell_angle_beta 90.00
_cell_angle_gamma 120.00
loop_
_atom_site_label
_atom_site_fract_x
_atom_site_fract_y
_atom_site_fract_z
Ba1 0.0000 0.0000 0.0000
Zr1 0.0000 0.0000 0.2416
Sc1 0.0000 0.0000 0.5029
Sc2 0.0000 0.0000 0.7601
```



(4)
This record from the Alexandria database describes an optimized crystal structure of BaZrSc2. The functional is GGA-PBE.

Output
The value obtained for the density of states at the Fermi level is 8.554 states/eV/f.u.

```
data_BaZrSc2
_chemical_formula_sum 'Ba4 Zr4 Sc8'
_space_group_name_H-M_alt 'I 41/a m d'
_space_group_IT_number 141
_cell_length_a 5.559
_cell_length_b 5.559
_cell_length_c 20.736
_cell_angle_alpha 90.00
_cell_angle_beta 90.00
_cell_angle_gamma 90.00
loop_
_space_group_symop_operation_xyz
'x,y,z'
'-x,-y,-z'
'-y+1/4,x+3/4,z+1/4'
'y+1/4,-x+3/4,-z+1/4'
'-x+1/2,-y,z+1/2'
'x+1/2,y,-z+1/2'
'y+1/4,-x+1/4,z+3/4'
'-y+1/4,x+1/4,-z+3/4'
'x,-y,-z'
'-x,y,z'
'-y+1/4,-x+1/4,-z+3/4'
'y+1/4,x+1/4,z+3/4'
'-x+1/2,y,-z+1/2'
'x+1/2,-y,z+1/2'
'y+1/4,x+3/4,-z+1/4'
'-y+1/4,-x+3/4,z+1/4'
'x+1/2,y+1/2,z+1/2'
'-x+1/2,-y+1/2,-z+1/2'
'-y+3/4,x+1/4,z+3/4'
'y+3/4,-x+1/4,-z+3/4'
'-x,-y+1/2,z'
'x,y+1/2,-z'
'y+3/4,-x+3/4,z+1/4'
'-y+3/4,x+3/4,-z+1/4'
'x+1/2,-y+1/2,-z+1/2'
'-x+1/2,y+1/2,z+1/2'
'-y+3/4,-x+3/4,-z+1/4'
'y+3/4,x+3/4,z+1/4'
'-x,y+1/2,-z'
'x,-y+1/2,z'
'y+3/4,x+1/4,-z+3/4'
'-y+3/4,-x+1/4,z+3/4'
loop_
_atom_site_label
_atom_site_fract_x
_atom_site_fract_y
_atom_site_fract_z
Ba1 0.000 0.250 0.375
Zr1 0.000 0.250 0.875
Sc1 0.000 0.000 0.000
```



Which of them is least stable? Easy: (4).